Record 1
# K2U2PaTe6

K2U2PaTe6 after structural relaxation (PBE, Alexandria).

Final energy, eV/cell: -62.49
Total moment, μB/f.u.: 7.002
Energy relative to the elements, uncorrected, eV/atom: -0.85

Lattice parameters (Å, degrees): 7.5888 7.5888 8.9444 98.24 98.24 119.95
Positions (direct):
K 0.1669 0.8331 0.0000
K 0.8331 0.1669 0.0000
U 0.3321 0.6679 0.5000
U 0.6679 0.3321 0.5000
Pa 0.0000 0.0000 0.5000
Te 0.0746 0.4020 0.7117
Te 0.2625 0.2625 0.2903
Te 0.4020 0.0746 0.7117
Te 0.5980 0.9254 0.2883
Te 0.7375 0.7375 0.7097
Te 0.9254 0.5980 0.2883

Record 2
# K3UPa3Te8

K3UPa3Te8 after structural relaxation (PBE, Alexandria).

Final energy, eV/cell: -81.62
Total moment, μB/f.u.: 8.028
Energy relative to the elements, uncorrected, eV/atom: -0.89

Lattice parameters (Å, degrees): 9.9724 9.9724 9.9724 51.93 51.93 51.93
Positions (direct):
K 0.0000 0.5000 0.5000
K 0.5000 0.0000 0.5000
K 0.5000 0.5000 0.0000
U 0.5000 0.5000 0.5000
Pa 0.0000 0.0000 0.5000
Pa 0.0000 0.5000 0.0000
Pa 0.5000 0.0000 0.0000
Te 0.2332 0.7399 0.7399
Te 0.2385 0.2385 0.2385
Te 0.2601 0.2601 0.7668
Te 0.2601 0.7668 0.2601
Te 0.7399 0.2332 0.7399
Te 0.7399 0.7399 0.2332
Te 0.7615 0.7615 0.7615
Te 0.7668 0.2601 0.2601

Record 3
# K3U2PaTe6

K3U2PaTe6 after structural relaxation (PBE, Alexandria).

Final energy, eV/cell: -64.78
Total moment, μB/f.u.: 8.017
Energy relative to the elements, uncorrected, eV/atom: -0.88

Lattice parameters (Å, degrees): 7.6877 7.6877 8.8123 98.36 98.36 120.00
Positions (direct):
K 0.0000 0.0000 0.0000
K 0.3329 0.6671 0.0000
K 0.6671 0.3329 0.0000
U 0.1667 0.8333 0.5000
U 0.8333 0.1667 0.5000
Pa 0.5000 0.5000 0.5000
Te 0.0973 0.4285 0.2854
Te 0.2403 0.2403 0.7145
Te 0.4285 0.0973 0.2854
Te 0.5715 0.9027 0.7146
Te 0.7597 0.7597 0.2855
Te 0.9027 0.5715 0.7146

Record 4
# K3PaV2Te6

K3PaV2Te6 after structural relaxation (PBE, Alexandria).

Final energy, eV/cell: -59.02
Total moment, μB/f.u.: 6.008
Energy relative to the elements, uncorrected, eV/atom: -0.76

Lattice parameters (Å, degrees): 7.3392 7.3392 8.6094 98.21 98.21 119.94
Positions (direct):
K 0.0000 0.0000 0.0000
K 0.3388 0.6612 0.0000
K 0.6612 0.3388 0.0000
Pa 0.5000 0.5000 0.5000
V 0.1672 0.8328 0.5000
V 0.8328 0.1672 0.5000
Te 0.0815 0.4349 0.3052
Te 0.2108 0.2108 0.6930
Te 0.4349 0.0815 0.3052
Te 0.5651 0.9185 0.6948
Te 0.7892 0.7892 0.3070
Te 0.9185 0.5651 0.6948

Record 5
# K3Y3PaTe8

K3Y3PaTe8 after structural relaxation (PBE, Alexandria).

Final energy, eV/cell: -76.68
Total moment, μB/f.u.: 1.036
Energy relative to the elements, uncorrected, eV/atom: -1.29

Lattice parameters (Å, degrees): 9.8326 9.8326 9.8326 54.00 54.00 54.00
Positions (direct):
K 0.0000 0.5000 0.5000
K 0.5000 0.0000 0.5000
K 0.5000 0.5000 0.0000
Y 0.0000 0.0000 0.5000
Y 0.0000 0.5000 0.0000
Y 0.5000 0.0000 0.0000
Pa 0.5000 0.5000 0.5000
Te 0.2345 0.7363 0.7363
Te 0.2360 0.2360 0.2360
Te 0.2637 0.2637 0.7655
Te 0.2637 0.7655 0.2637
Te 0.7363 0.2345 0.7363
Te 0.7363 0.7363 0.2345
Te 0.7640 0.7640 0.7640
Te 0.7655 0.2637 0.2637

Record 6
# K2Y2PaTe6

K2Y2PaTe6 after structural relaxation (PBE, Alexandria).

Final energy, eV/cell: -57.23
Total moment, μB/f.u.: 1.051
Energy relative to the elements, uncorrected, eV/atom: -1.25

Lattice parameters (Å, degrees): 7.6835 7.6835 8.8402 98.43 98.43 119.95
Positions (direct):
K 0.1670 0.8330 0.0000
K 0.8330 0.1670 0.0000
Y 0.3325 0.6675 0.5000
Y 0.6675 0.3325 0.5000
Pa 0.0000 0.0000 0.5000
Te 0.0716 0.4018 0.7077
Te 0.2639 0.2639 0.2937
Te 0.4018 0.0716 0.7077
Te 0.5982 0.9284 0.2923
Te 0.7361 0.7361 0.7063
Te 0.9284 0.5982 0.2923

Record 7
# K4ZrPa3Te8

K4ZrPa3Te8 after structural relaxation (PBE, Alexandria).

Final energy, eV/cell: -81.49
Total moment, μB/f.u.: 6.408
Energy relative to the elements, uncorrected, eV/atom: -0.93

Lattice parameters (Å, degrees): 9.8861 9.8861 9.8861 52.13 52.13 52.13
Positions (direct):
K 0.0000 0.0000 0.0000
K 0.0000 0.5000 0.5000
K 0.5000 0.0000 0.5000
K 0.5000 0.5000 0.0000
Zr 0.5000 0.5000 0.5000
Pa 0.0000 0.0000 0.5000
Pa 0.0000 0.5000 0.0000
Pa 0.5000 0.0000 0.0000
Te 0.2397 0.2397 0.2397
Te 0.2479 0.7318 0.7318
Te 0.2682 0.2682 0.7521
Te 0.2682 0.7521 0.2682
Te 0.7318 0.2479 0.7318
Te 0.7318 0.7318 0.2479
Te 0.7521 0.2682 0.2682
Te 0.7603 0.7603 0.7603

Record 8
# K2ZrPaTe4

K2ZrPaTe4 after structural relaxation (PBE, Alexandria).

Final energy, eV/cell: -40.40
Total moment, μB/f.u.: 2.419
Energy relative to the elements, uncorrected, eV/atom: -0.95

Lattice parameters (Å, degrees): 7.3568 4.3160 8.8708 90.00 106.41 90.00
Positions (direct):
K 0.0000 0.0000 0.0000
K 0.5000 0.5000 0.0000
Zr 0.0000 0.5000 0.5000
Pa 0.5000 0.0000 0.5000
Te 0.2257 0.0000 0.7068
Te 0.2513 0.5000 0.2860
Te 0.7487 0.5000 0.7140
Te 0.7743 0.0000 0.2932

Record 9
# K2Zr2PaTe6

K2Zr2PaTe6 after structural relaxation (PBE, Alexandria).

Final energy, eV/cell: -58.28
Total moment, μB/f.u.: 2.248
Energy relative to the elements, uncorrected, eV/atom: -0.97

Lattice parameters (Å, degrees): 7.2006 7.2006 9.0215 97.47 97.47 120.18
Positions (direct):
K 0.1631 0.8369 0.0000
K 0.8369 0.1631 0.0000
Zr 0.3315 0.6685 0.5000
Zr 0.6685 0.3315 0.5000
Pa 0.0000 0.0000 0.5000
Te 0.0711 0.4105 0.7072
Te 0.2794 0.2794 0.2946
Te 0.4105 0.0711 0.7072
Te 0.5895 0.9289 0.2928
Te 0.7206 0.7206 0.7054
Te 0.9289 0.5895 0.2928

Record 10
# K3Pb

K3Pb after structural relaxation (PBE, Alexandria).

Final energy, eV/cell: -29.12
Energy of formation, eV per atom: -0.07
Total moment, μB/f.u.: 1.053

Lattice parameters (Å, degrees): 10.5442 11.2940 6.8138 90.00 90.00 90.00
Positions (direct):
K 0.0176 0.2500 0.0637
K 0.1688 0.0702 0.5780
K 0.1688 0.4298 0.5780
K 0.3312 0.5702 0.0780
K 0.3312 0.9298 0.0780
K 0.4824 0.7500 0.5637
K 0.5176 0.2500 0.4363
K 0.6688 0.0702 0.9220
K 0.6688 0.4298 0.9220
K 0.8312 0.5702 0.4220
K 0.8312 0.9298 0.4220
K 0.9824 0.7500 0.9363
Pb 0.1382 0.7500 0.4473
Pb 0.3618 0.2500 0.9473
Pb 0.6382 0.7500 0.0527
Pb 0.8618 0.2500 0.5527

Record 11
# K5Pb24

K5Pb24 after structural relaxation (PBE, Alexandria).

Final energy, eV/cell: -97.39
Energy of formation, eV per atom: -0.10
Total moment, μB/f.u.: 0.000

Lattice parameters (Å, degrees): 10.8349 10.8349 10.8349 109.47 109.47 109.47
Positions (direct):
K 0.0000 0.0000 0.0000
K 0.0000 0.0000 0.3619
K 0.0000 0.3619 0.0000
K 0.3619 0.0000 0.0000
K 0.6381 0.6381 0.6381
Pb 0.0000 0.3201 0.5992
Pb 0.0000 0.5992 0.3201
Pb 0.0000 0.6110 0.8014
Pb 0.0000 0.8014 0.6110
Pb 0.1904 0.3890 0.3890
Pb 0.1986 0.1986 0.8096
Pb 0.1986 0.8096 0.1986
Pb 0.2791 0.6799 0.6799
Pb 0.3201 0.0000 0.5992
Pb 0.3201 0.5992 0.0000
Pb 0.3890 0.1904 0.3890
Pb 0.3890 0.3890 0.1904
Pb 0.4008 0.4008 0.7209
Pb 0.4008 0.7209 0.4008
Pb 0.5992 0.0000 0.3201
Pb 0.5992 0.3201 0.0000
Pb 0.6110 0.0000 0.8014
Pb 0.6110 0.8014 0.0000
Pb 0.6799 0.2791 0.6799
Pb 0.6799 0.6799 0.2791
Pb 0.7209 0.4008 0.4008
Pb 0.8014 0.0000 0.6110
Pb 0.8014 0.6110 0.0000
Pb 0.8096 0.1986 0.1986

Record 12
# K5Pb6

K5Pb6 after structural relaxation (PBE, Alexandria).

Final energy, eV/cell: -29.27
Energy of formation, eV per atom: -0.14
Total moment, μB/f.u.: 0.000

Lattice parameters (Å, degrees): 8.0979 8.0979 9.1720 100.13 100.13 126.13
Positions (direct):
K 0.0000 0.0000 0.0000
K 0.1481 0.8519 0.5000
K 0.2727 0.7273 0.0000
K 0.7273 0.2727 0.0000
K 0.8519 0.1481 0.5000
Pb 0.2640 0.4875 0.3190
Pb 0.3608 0.3608 0.8180
Pb 0.4875 0.2640 0.3190
Pb 0.5125 0.7360 0.6810
Pb 0.6392 0.6392 0.1820
Pb 0.7360 0.5125 0.6810

Question: Among the records above, which one has the lowest final energy?
Answer: K5Pb24